First-principles (PBE) data for a relaxed structure of La8ZnSe3I4, as listed in the Alexandria database.

Unit cell a=9.2485 b=9.2485 c=9.2485 alpha=56.51 beta=56.51 gamma=56.51
Element x y z (fractional)
1 La 0.2348 0.2348 0.2348
2 La 0.2351 0.7359 0.7359
3 La 0.2641 0.2641 0.7649
4 La 0.2641 0.7649 0.2641
5 La 0.7359 0.2351 0.7359
6 La 0.7359 0.7359 0.2351
7 La 0.7649 0.2641 0.2641
8 La 0.7652 0.7652 0.7652
9 Zn 0.5000 0.5000 0.5000
10 Se 0.0000 0.0000 0.5000
11 Se 0.0000 0.5000 0.0000
12 Se 0.5000 0.0000 0.0000
13 I 0.0000 0.0000 0.0000
14 I 0.0000 0.5000 0.5000
15 I 0.5000 0.0000 0.5000
16 I 0.5000 0.5000 0.0000

## Properties
Raw formation energy   -1299 meV per atom
Total DFT energy (no corrections)   -4.883 eV per atom